Entry 1:
Entry from Alexandria via LeMat-Bulk: crystalline Ba3PrPt2O9 at its relaxed geometry (PBE-GGA).

Properties
Density of states at the Fermi level (states/eV/f.u.): 14.2
Formation energy (no corrections) (eV/f.u.): -28.07

abc: 5.9716 5.9716 7.4602
angles: 90.00 90.00 120.00
Element x y z (fractional)
Ba (0.0000, 0.0000, 0.0000)
Ba (0.3333, 0.6667, 0.6937)
Ba (0.6667, 0.3333, 0.3063)
Pr (0.0000, 0.0000, 0.5000)
Pt (0.3333, 0.6667, 0.1591)
Pt (0.6667, 0.3333, 0.8409)
O (0.0000, 0.5000, 0.0000)
O (0.1778, 0.3556, 0.3131)
O (0.1778, 0.8222, 0.3131)
O (0.3556, 0.1778, 0.6869)
O (0.5000, 0.0000, 0.0000)
O (0.5000, 0.5000, 0.0000)
O (0.6444, 0.8222, 0.3131)
O (0.8222, 0.1778, 0.6869)
O (0.8222, 0.6444, 0.6869)

Entry 2:
Entry from Alexandria via LeMat-Bulk: crystalline K2HgGe2 at its relaxed geometry (PBE-GGA).

Properties
Offset from the most stable computed form (eV/f.u.): 0.056
E_form (eV/atom): 0.00
Density of states at the Fermi level (states/eV/f.u.): 4.2

abc: 11.4177 11.4177 11.4177
angles: 160.74 160.74 27.37
Element x y z (fractional)
K (0.1144, 0.1144, 0.0000)
K (0.8856, 0.8856, 0.0000)
Hg (0.5000, 0.5000, 0.0000)
Ge (0.2500, 0.7500, 0.5000)
Ge (0.7500, 0.2500, 0.5000)

Entry 3:
Entry from Alexandria via LeMat-Bulk: crystalline Sm2ZrScP4 at its relaxed geometry (PBE-GGA).

Properties
E_form (eV/atom): -1.50
Density of states at the Fermi level (states/eV/f.u.): 1.5

abc: 6.7781 3.9170 6.8051
angles: 90.00 109.33 90.00
Element x y z (fractional)
Sm (0.0000, 0.0000, 0.0000)
Sm (0.5000, 0.5000, 0.0000)
Zr (0.0000, 0.5000, 0.5000)
Sc (0.5000, 0.0000, 0.5000)
P (0.2427, 0.0000, 0.7285)
P (0.2567, 0.5000, 0.2721)
P (0.7433, 0.5000, 0.7279)
P (0.7573, 0.0000, 0.2715)